Here is LiMn2Pt4 after structural relaxation from the Alexandria database. Energies are from GGA-PBE.

The structure in CIF format:
```
data_LiMn2Pt4
_chemical_formula_sum 'Li2 Mn4 Pt8'
_space_group_name_H-M_alt 'I 4/m m m'
_space_group_IT_number 139
_space_group_name_Hall '-I 4 2'
_cell_length_a 5.5466
_cell_length_b 5.5466
_cell_length_c 7.1105
_cell_angle_alpha 90.00
_cell_angle_beta 90.00
_cell_angle_gamma 90.00
loop_
_atom_site_label
_atom_site_fract_x
_atom_site_fract_y
_atom_site_fract_z
_atom_site_occupancy
Li1 0.0000 0.0000 0.0000 1
Mn1 0.0000 0.5000 0.0000 1
Pt1 0.2500 0.2500 0.2500 1
```

spin magnetization: 16.04 μB/cell
calculated formation energy: -266 meV/atom
Fermi-level density of states: 4.528 states/eV/f.u.
total DFT energy (no corrections): -6.6110 eV/atom